Entry 1:
Material: Rb3ErP2O8
Method: DFT, PBE
State: optimized geometry

The calculation puts the formation energy from raw total energies at -248.4 kJ per mole of atoms.

Cell: 5.7167 5.7167 8.2462 Å, 90.00 90.00 120.00°
Space group P-3m1 (No. 164)
Unique sites:
Rb (0.0000, 0.0000, 0.0000) (multiplicity 1)
Rb (0.3333, 0.6667, 0.7577) (multiplicity 2)
Er (0.0000, 0.0000, 0.5000) (multiplicity 1)
P (0.3333, 0.6667, 0.2785) (multiplicity 2)
O (0.1847, 0.3693, 0.3435) (multiplicity 6)
O (0.3333, 0.6667, 0.0929) (multiplicity 2)

---

Entry 2:
Material: RbErP2O7
Method: DFT, PBE
State: optimized geometry

The calculation puts the formation energy from raw total energies at -261.7 kJ per mole of atoms.

Cell: 7.8623 10.9891 8.7780 Å, 90.00 105.95 90.00°
Space group P2_1/c (No. 14)
Unique sites:
Rb (0.1873, 0.1782, 0.0652) (multiplicity 4)
Er (0.2358, 0.5993, 0.2522) (multiplicity 4)
P (0.1281, 0.5996, 0.8175) (multiplicity 4)
P (0.4323, 0.6341, 0.6873) (multiplicity 4)
O (0.0022, 0.5029, 0.7214) (multiplicity 4)
O (0.0772, 0.7276, 0.7492) (multiplicity 4)
O (0.1454, 0.5925, 0.9936) (multiplicity 4)
O (0.3225, 0.5657, 0.7967) (multiplicity 4)
O (0.3296, 0.6094, 0.5156) (multiplicity 4)
O (0.3857, 0.0735, 0.7656) (multiplicity 4)
O (0.4466, 0.7311, 0.2336) (multiplicity 4)

---

Entry 3:
Material: ErPRuO
Method: DFT, PBE
State: optimized geometry

The calculation puts the formation energy from raw total energies at -198.0 kJ per mole of atoms.

Cell: 3.9759 3.9759 7.8408 Å, 90.00 90.00 90.00°
Space group P4/nmm (No. 129, origin choice 2)
Unique sites:
Er (0.2500, 0.2500, 0.1326) (multiplicity 2)
P (0.2500, 0.2500, 0.6540) (multiplicity 2)
Ru (0.2500, 0.7500, 0.5000) (multiplicity 2)
O (0.2500, 0.7500, 0.0000) (multiplicity 2)

---

| no. | VASP energy (eV for the cell shown) |
| --- | --- |
| 1 | -93.991 |
| 2 | -323.577 |
| 3 | -64.834 |